1.
A plane-wave DFT calculation with GGA-PBE was carried out for Tb12Dy2Pu after structural relaxation.

Geometry as POSCAR:
```
Tb12Dy2Pu
1.0
3.547 -5.587 0.000
3.547 5.587 0.000
-1.813 0.000 24.286
Tb Dy Pu
24 4 2
Direct
0.050 0.547 0.200 Tb
0.078 0.585 0.329 Tb
0.134 0.643 0.556 Tb
0.148 0.148 0.572 Tb
0.218 0.218 0.864 Tb
0.235 0.735 0.928 Tb
0.265 0.765 0.072 Tb
0.281 0.281 0.134 Tb
0.357 0.866 0.444 Tb
0.359 0.359 0.422 Tb
0.415 0.922 0.671 Tb
0.453 0.950 0.800 Tb
0.547 0.050 0.200 Tb
0.585 0.078 0.329 Tb
0.641 0.641 0.578 Tb
0.643 0.134 0.556 Tb
0.719 0.719 0.866 Tb
0.735 0.235 0.928 Tb
0.765 0.265 0.072 Tb
0.782 0.782 0.136 Tb
0.852 0.852 0.428 Tb
0.866 0.357 0.444 Tb
0.922 0.415 0.671 Tb
0.950 0.453 0.800 Tb
0.069 0.069 0.271 Dy
0.437 0.437 0.730 Dy
0.563 0.563 0.270 Dy
0.931 0.931 0.729 Dy
0.250 0.250 0.999 Pu
0.750 0.750 0.001 Pu
```

Output
For the formation energy, the calculation gives 0.136 eV/atom. As for the energy: -0.378 Ry per atom.

***

2.
A plane-wave DFT calculation with GGA-PBE was carried out for HfHPdPt2 after structural relaxation.

Geometry as POSCAR:
```
HfHPdPt2
1.0
4.934 0.000 0.000
0.000 4.934 0.000
0.000 0.000 4.753
Hf H Pd Pt
1 1 1 2
Direct
0.000 0.000 0.000 Hf
0.500 0.500 0.000 H
0.000 0.000 0.500 Pd
0.000 0.500 0.500 Pt
0.500 0.000 0.500 Pt
```

Output
As for the energy: -0.351 Ry per atom.

***

3.
A plane-wave DFT calculation with GGA-PBE was carried out for PuPaNiMo after structural relaxation.

Geometry as POSCAR:
```
PuPaNiMo
1.0
0.000 3.393 3.393
3.393 0.000 3.393
3.393 3.393 0.000
Pu Pa Ni Mo
1 1 1 1
Direct
0.000 0.000 0.000 Pu
0.500 0.500 0.500 Pa
0.750 0.750 0.750 Ni
0.250 0.250 0.250 Mo
```

Output
For the formation energy, the calculation gives 0.109 eV/atom. As for the energy: -0.735 Ry per atom.

***

4.
A plane-wave DFT calculation with GGA-PBE was carried out for Y8GeTe4S3 after structural relaxation.

Geometry as POSCAR:
```
Y8GeTe4S3
1.0
4.118 2.378 7.035
-4.118 2.378 7.035
0.000 -4.755 7.035
Y Ge Te S
8 1 4 3
Direct
0.235 0.235 0.235 Y
0.235 0.738 0.738 Y
0.262 0.262 0.765 Y
0.262 0.765 0.262 Y
0.738 0.235 0.738 Y
0.738 0.738 0.235 Y
0.765 0.262 0.262 Y
0.765 0.765 0.765 Y
0.500 0.500 0.500 Ge
0.000 0.000 0.000 Te
0.000 0.500 0.500 Te
0.500 0.000 0.500 Te
0.500 0.500 0.000 Te
0.000 0.000 0.500 S
0.000 0.500 0.000 S
0.500 0.000 0.000 S
```

Output
As for the energy: -0.489 Ry per atom. The uncorrected formation energy comes out at -1.57 eV per atom.

***

Question: energy of number 4 (Y8GeTe4S3)?
Answer: -0.489 Ry per atom

***

Please write out number 4 again, unchanged.
A plane-wave DFT calculation with GGA-PBE was carried out for Y8GeTe4S3 after structural relaxation.

Geometry as POSCAR:
```
Y8GeTe4S3
1.0
4.118 2.378 7.035
-4.118 2.378 7.035
0.000 -4.755 7.035
Y Ge Te S
8 1 4 3
Direct
0.235 0.235 0.235 Y
0.235 0.738 0.738 Y
0.262 0.262 0.765 Y
0.262 0.765 0.262 Y
0.738 0.235 0.738 Y
0.738 0.738 0.235 Y
0.765 0.262 0.262 Y
0.765 0.765 0.765 Y
0.500 0.500 0.500 Ge
0.000 0.000 0.000 Te
0.000 0.500 0.500 Te
0.500 0.000 0.500 Te
0.500 0.500 0.000 Te
0.000 0.000 0.500 S
0.000 0.500 0.000 S
0.500 0.000 0.000 S
```

Output
As for the energy: -0.489 Ry per atom. The uncorrected formation energy comes out at -1.57 eV per atom.

***

Question: What is the energy in the fourth record?
Answer: -0.489 Ry per atom

***

Question: The highest energy belongs to which entry?
Answer: HfHPdPt2